Computed, not measured: a geometry-optimized Na2GaSe structure at the PBE level of DFT.

Cell lengths 4.686, 4.686, 10.258 Å; angles 76.80, 76.80, 90.00 degrees
Element x y z (fractional)
Na  0.875  0.901  0.750
Na  0.099  0.625  0.250
Na  0.375  0.349  0.750
Na  0.651  0.125  0.250
Se  0.750  0.250  0.500
Se  0.000  0.000  0.000
Ga  0.250  0.750  0.500
Ga  0.500  0.500  0.000

## Properties
Symmetry: No. 122
V (Å³ per atom): 26.65
Uncorrected energy (eV/atom): -2.57

Computed, not measured: a geometry-optimized NaGa2Se4 structure at the PBE level of DFT.

Cell lengths 6.435, 6.267, 6.267 Å; angles 74.71, 59.11, 59.11 degrees
Element x y z (fractional)
Se  0.579  0.843  0.500
Se  0.079  0.500  0.843
Se  0.921  0.157  0.500
Se  0.421  0.500  0.157
Ga  0.500  0.500  0.500
Ga  0.000  0.500  0.500
Na  0.000  0.000  0.000

## Properties
Symmetry: No. 97
V (Å³ per atom): 26.59
Uncorrected energy (eV/atom): -3.63

Computed, not measured: a geometry-optimized NaGa2Se structure at the PBE level of DFT.

Cell lengths 3.755, 3.755, 9.509 Å; angles 78.61, 78.61, 60.00 degrees
Element x y z (fractional)
Na  0.000  0.000  0.000
Ga  0.894  0.894  0.318
Ga  0.106  0.106  0.682
Se  0.500  0.500  0.500

## Properties
Symmetry: No. 166
V (Å³ per atom): 28.27
Uncorrected energy (eV/atom): -2.82

Computed, not measured: a geometry-optimized NaGa2Se3 structure at the PBE level of DFT.

Cell lengths 3.996, 7.403, 11.417 Å; angles 99.14, 100.08, 90.00 degrees
Element x y z (fractional)
Ga  0.691  0.423  0.383
Ga  0.960  0.802  0.920
Ga  0.040  0.198  0.080
Ga  0.309  0.577  0.617
Se  0.930  0.101  0.861
Se  0.070  0.899  0.139
Se  0.573  0.394  0.146
Se  0.773  0.760  0.546
Se  0.227  0.240  0.454
Se  0.427  0.606  0.854
Na  0.338  0.067  0.675
Na  0.662  0.933  0.325

## Properties
Symmetry: No. 12
V (Å³ per atom): 27.35
Uncorrected energy (eV/atom): -3.56

Computed, not measured: a geometry-optimized Na2Ga2Se3 structure at the PBE level of DFT.

Cell lengths 4.120, 7.123, 7.550 Å; angles 111.07, 105.83, 90.00 degrees
Element x y z (fractional)
Ga  0.831  0.694  0.662
Ga  0.169  0.306  0.338
Se  0.788  0.301  0.575
Se  0.000  0.000  0.000
Se  0.212  0.699  0.425
Na  0.392  0.130  0.784
Na  0.608  0.870  0.216

## Properties
Symmetry: No. 12
V (Å³ per atom): 28.25
Uncorrected energy (eV/atom): -3.43

Computed, not measured: a geometry-optimized Na3GaSe structure at the PBE level of DFT.

Cell lengths 5.451, 5.451, 5.451 Å; angles 90.00, 90.00, 90.00 degrees
Element x y z (fractional)
Na  0.000  0.000  0.500
Na  0.000  0.500  0.000
Na  0.500  0.000  0.000
Ga  0.000  0.000  0.000
Se  0.500  0.500  0.500

## Properties
Symmetry: No. 221
V (Å³ per atom): 32.40
Uncorrected energy (eV/atom): -1.94

Computed, not measured: a geometry-optimized Na14Ga2Se9 structure at the PBE level of DFT.

Cell lengths 8.348, 8.348, 11.658 Å; angles 90.00, 90.00, 120.00 degrees
Element x y z (fractional)
Na  0.372  0.321  0.407
Na  0.000  0.000  0.748
Na  0.350  0.023  0.091
Na  0.000  0.000  0.252
Na  0.023  0.673  0.909
Na  0.650  0.977  0.909
Na  0.327  0.350  0.909
Na  0.977  0.327  0.091
Na  0.949  0.628  0.407
Na  0.051  0.372  0.593
Na  0.673  0.650  0.091
Na  0.679  0.051  0.407
Na  0.628  0.679  0.593
Na  0.321  0.949  0.593
Se  0.952  0.647  0.662
Se  0.305  0.952  0.338
Se  0.647  0.695  0.338
Se  0.353  0.305  0.662
Se  0.333  0.667  0.028
Se  0.048  0.353  0.338
Se  0.000  0.000  0.000
Se  0.667  0.333  0.972
Se  0.695  0.048  0.662
Ga  0.667  0.333  0.743
Ga  0.333  0.667  0.257

## Properties
Symmetry: No. 147
V (Å³ per atom): 28.15
Uncorrected energy (eV/atom): -3.17

Computed, not measured: a geometry-optimized NaGa3Se structure at the PBE level of DFT.

Cell lengths 5.388, 5.388, 5.388 Å; angles 90.00, 90.00, 90.00 degrees
Element x y z (fractional)
Se  0.000  0.000  0.000
Ga  0.000  0.000  0.500
Ga  0.500  0.000  0.000
Ga  0.000  0.500  0.000
Na  0.500  0.500  0.500

## Properties
Symmetry: No. 221
V (Å³ per atom): 31.29
Uncorrected energy (eV/atom): -2.52

Which value of uncorrected energy does entry 3 give?
-2.82 eV/atom

Which formula does entry 4 have?
NaGa2Se3